19
Lattice="6.137 3.543 2.305 -6.137 3.543 2.305 0.000 -7.087 2.305" Properties=species:S:1:pos:R:3 comment="Ti6HgPd12, relaxed, DFT PBE" formation_energy_ev_per_atom=-0.48 total_magnetization_mub_per_cell=0.0 energy_ev_per_atom=-6.2725 pbc="T T T"
Ti -3.112 -0.229 2.418
Ti 1.754 -2.581 2.418
Ti -1.358 -2.809 4.498
Ti 1.358 2.809 2.418
Ti -1.754 2.581 4.498
Ti 3.112 0.229 4.498
Hg 0.000 0.000 0.000
Pd -0.354 -4.203 2.346
Pd -3.463 2.408 2.346
Pd -0.792 -1.490 2.344
Pd -3.817 -1.795 4.570
Pd -0.895 1.431 2.344
Pd 1.687 0.060 2.344
Pd -1.687 -0.060 4.572
Pd 0.895 -1.431 4.572
Pd 3.817 1.795 2.346
Pd 0.792 1.490 4.572
Pd 3.463 -2.408 4.570
Pd 0.354 4.203 4.570

=====

12
Lattice="9.220 -2.143 0.000 9.220 2.143 0.000 -3.972 0.000 9.115" Properties=species:S:1:pos:R:3 comment="DyEr3Bi2, relaxed, DFT PBE" formation_energy_ev_per_atom=-0.46 total_magnetization_mub_per_cell=0.0 polymorph_energy_ev_per_atom=0.1031 energy_ev_per_atom=-4.7986 pbc="T T T"
Dy 1.601 0.000 0.992
Dy 12.867 0.000 8.123
Er -1.625 0.000 6.102
Er 5.314 0.000 0.996
Er 4.591 0.000 4.749
Er 9.877 0.000 4.366
Er 9.154 0.000 8.119
Er 16.092 0.000 3.013
Bi 1.800 0.000 6.524
Bi 8.437 0.000 1.439
Bi 6.030 0.000 7.676
Bi 12.667 0.000 2.591

=====

5
Lattice="5.219 0.000 0.000 0.000 5.219 0.000 0.000 0.000 5.220" Properties=species:S:1:pos:R:3 comment="Sc2NbHgS, relaxed, DFT PBE" raw_formation_energy_ev_per_atom=0.8283 total_magnetization_mub_per_cell=2.9 energy_ev_per_atom=-4.6042 pbc="T T T"
Sc 0.000 2.609 0.000
Sc 2.609 0.000 0.000
Nb 0.000 0.000 2.610
Hg 0.000 0.000 0.000
S 2.609 2.609 2.610

=====

4
Lattice="3.092 0.000 0.000 0.000 3.092 0.000 0.000 0.000 7.781" Properties=species:S:1:pos:R:3 comment="PW2Se, relaxed, DFT PBE" raw_formation_energy_ev_per_atom=0.0422 total_magnetization_mub_per_cell=0.0 polymorph_energy_ev_per_atom=0.0120 energy_ev_per_atom=-8.6580 pbc="T T T"
P 0.000 0.000 0.000
W 0.000 0.000 4.777
W 1.546 1.546 6.694
Se 1.546 1.546 3.284

=====

20
Lattice="4.731 0.000 0.000 0.000 4.731 0.000 0.000 0.000 24.169" Properties=species:S:1:pos:R:3 comment="LiPr4Sn15, relaxed, DFT PBE" formation_energy_ev_per_atom=-0.43 total_magnetization_mub_per_cell=0.0 energy_ev_per_atom=-4.4836 pbc="T T T"
Li 0.000 0.000 0.000
Pr 0.000 0.000 4.823
Pr 0.000 0.000 9.641
Pr 0.000 0.000 14.528
Pr 0.000 0.000 19.346
Sn 0.000 2.366 2.250
Sn 0.000 2.366 7.202
Sn 0.000 2.366 12.085
Sn 0.000 2.366 16.967
Sn 0.000 2.366 21.919
Sn 2.366 0.000 2.250
Sn 2.366 0.000 7.202
Sn 2.366 0.000 12.085
Sn 2.366 0.000 16.967
Sn 2.366 0.000 21.919
Sn 2.366 2.366 0.000
Sn 2.366 2.366 4.691
Sn 2.366 2.366 9.657
Sn 2.366 2.366 14.512
Sn 2.366 2.366 19.478

=====

4
Lattice="0.000 3.709 3.709 3.709 0.000 3.709 3.709 3.709 0.000" Properties=species:S:1:pos:R:3 comment="PrLuCdAu, relaxed, DFT PBE" formation_energy_ev_per_atom=-0.52 total_magnetization_mub_per_cell=0.0 energy_ev_per_atom=-3.8883 pbc="T T T"
Pr 0.000 0.000 0.000
Lu 3.709 3.709 3.709
Cd 1.854 1.854 1.854
Au 5.563 5.563 5.563